Record 1
Density functional theory data (PBE) for a relaxed structure of NaEu2Al.

The structure in POSCAR format:
```
NaEu2Al
1.0
5.5792 0.0000 0.0000
0.0000 5.5792 0.0000
0.0000 0.0000 4.0457
Na Eu Al
1 2 1
direct
0.0000 0.0000 0.0000
0.0000 0.5000 0.5000
0.5000 0.0000 0.5000
0.5000 0.5000 0.0000
```

SG: P4/mmm, No. 123
formation energy from the elements: -0.01 eV per atom
DOS(E_F): 17.2 states/eV per cell
mass density: 4.67 g/cm³
ΔE to the lowest computed polymorph: 0.0885 eV per atom



Record 2
Density functional theory data (PBE) for a relaxed structure of NaEu2Al.

The structure in POSCAR format:
```
NaEu2Al
1.0
7.9549 0.0000 0.0000
0.0000 7.9549 0.0000
0.0000 0.0000 7.9549
Na Eu Al
4 8 4
direct
0.0000 0.0000 0.0000
0.0000 0.5000 0.5000
0.5000 0.0000 0.5000
0.5000 0.5000 0.0000
0.2500 0.2500 0.2500
0.2500 0.2500 0.7500
0.2500 0.7500 0.2500
0.2500 0.7500 0.7500
0.7500 0.2500 0.2500
0.7500 0.2500 0.7500
0.7500 0.7500 0.2500
0.7500 0.7500 0.7500
0.0000 0.0000 0.5000
0.0000 0.5000 0.0000
0.5000 0.0000 0.0000
0.5000 0.5000 0.5000
```

SG: Fm-3m, No. 225
formation energy from the elements: -0.03 eV per atom
DOS(E_F): 71.5 states/eV per cell
mass density: 4.67 g/cm³
ΔE to the lowest computed polymorph: 0.0657 eV per atom



Record 3
Density functional theory data (PBE) for a relaxed structure of NaEuAlPb.

The structure in POSCAR format:
```
NaEuAlPb
1.0
7.6297 0.0000 0.0000
0.0000 7.6297 0.0000
0.0000 0.0000 7.6297
Na Eu Al Pb
4 4 4 4
direct
0.0000 0.0000 0.0000
0.0000 0.5000 0.5000
0.5000 0.0000 0.5000
0.5000 0.5000 0.0000
0.0000 0.0000 0.5000
0.0000 0.5000 0.0000
0.5000 0.0000 0.0000
0.5000 0.5000 0.5000
0.2500 0.2500 0.7500
0.2500 0.7500 0.2500
0.7500 0.2500 0.2500
0.7500 0.7500 0.7500
0.2500 0.2500 0.2500
0.2500 0.7500 0.7500
0.7500 0.2500 0.7500
0.7500 0.7500 0.2500
```

SG: F-43m, No. 216
formation energy from the elements: -0.16 eV per atom
DOS(E_F): 3.8 states/eV per cell
mass density: 6.12 g/cm³



Record 4
Density functional theory data (PBE) for a relaxed structure of NaPmEuAl.

The structure in POSCAR format:
```
NaPmEuAl
1.0
7.7757 0.0000 0.0000
0.0000 7.7757 0.0000
0.0000 0.0000 7.7757
Na Pm Eu Al
4 4 4 4
direct
0.0000 0.0000 0.0000
0.0000 0.5000 0.5000
0.5000 0.0000 0.5000
0.5000 0.5000 0.0000
0.2500 0.2500 0.7500
0.2500 0.7500 0.2500
0.7500 0.2500 0.2500
0.7500 0.7500 0.7500
0.2500 0.2500 0.2500
0.2500 0.7500 0.7500
0.7500 0.2500 0.7500
0.7500 0.7500 0.2500
0.0000 0.0000 0.5000
0.0000 0.5000 0.0000
0.5000 0.0000 0.0000
0.5000 0.5000 0.5000
```

SG: F-43m, No. 216
formation energy from the elements: -0.02 eV per atom
DOS(E_F): 40.8 states/eV per cell
mass density: 4.90 g/cm³



Record 5
Density functional theory data (PBE) for a relaxed structure of NaPrEuAl.

The structure in POSCAR format:
```
NaPrEuAl
1.0
7.8315 0.0000 0.0000
0.0000 7.8315 0.0000
0.0000 0.0000 7.8315
Na Pr Eu Al
4 4 4 4
direct
0.0000 0.0000 0.0000
0.0000 0.5000 0.5000
0.5000 0.0000 0.5000
0.5000 0.5000 0.0000
0.2500 0.2500 0.2500
0.2500 0.7500 0.7500
0.7500 0.2500 0.7500
0.7500 0.7500 0.2500
0.2500 0.2500 0.7500
0.2500 0.7500 0.2500
0.7500 0.2500 0.2500
0.7500 0.7500 0.7500
0.0000 0.0000 0.5000
0.0000 0.5000 0.0000
0.5000 0.0000 0.0000
0.5000 0.5000 0.5000
```

SG: F-43m, No. 216
formation energy from the elements: -0.03 eV per atom
DOS(E_F): 40.2 states/eV per cell
mass density: 4.74 g/cm³



Record 6
Density functional theory data (PBE) for a relaxed structure of NaTbEuAl.

The structure in POSCAR format:
```
NaTbEuAl
1.0
7.7016 0.0000 0.0000
0.0000 7.7016 0.0000
0.0000 0.0000 7.7016
Na Tb Eu Al
4 4 4 4
direct
0.0000 0.0000 0.0000
0.0000 0.5000 0.5000
0.5000 0.0000 0.5000
0.5000 0.5000 0.0000
0.2500 0.2500 0.2500
0.2500 0.7500 0.7500
0.7500 0.2500 0.7500
0.7500 0.7500 0.2500
0.2500 0.2500 0.7500
0.2500 0.7500 0.2500
0.7500 0.2500 0.2500
0.7500 0.7500 0.7500
0.0000 0.0000 0.5000
0.0000 0.5000 0.0000
0.5000 0.0000 0.0000
0.5000 0.5000 0.5000
```

SG: F-43m, No. 216
formation energy from the elements: 0.00 eV per atom
DOS(E_F): 34.1 states/eV per cell
mass density: 5.25 g/cm³



Record 7
Density functional theory data (PBE) for a relaxed structure of NaEuYAl.

The structure in POSCAR format:
```
NaEuYAl
1.0
7.6968 0.0000 0.0000
0.0000 7.6968 0.0000
0.0000 0.0000 7.6968
Na Eu Y Al
4 4 4 4
direct
0.0000 0.0000 0.0000
0.0000 0.5000 0.5000
0.5000 0.0000 0.5000
0.5000 0.5000 0.0000
0.2500 0.2500 0.2500
0.2500 0.7500 0.7500
0.7500 0.2500 0.7500
0.7500 0.7500 0.2500
0.2500 0.2500 0.7500
0.2500 0.7500 0.2500
0.7500 0.2500 0.2500
0.7500 0.7500 0.7500
0.0000 0.0000 0.5000
0.0000 0.5000 0.0000
0.5000 0.0000 0.0000
0.5000 0.5000 0.5000
```

SG: F-43m, No. 216
formation energy from the elements: -0.01 eV per atom
DOS(E_F): 34.2 states/eV per cell
mass density: 4.24 g/cm³



Record 8
Density functional theory data (PBE) for a relaxed structure of EuNbAl4.

The structure in POSCAR format:
```
EuNbAl4
1.0
0.0000 3.8203 3.8203
3.8203 0.0000 3.8203
3.8203 3.8203 0.0000
Eu Nb Al
1 1 4
direct
0.0000 0.0000 0.0000
0.7500 0.7500 0.7500
0.3754 0.3754 0.3754
0.3754 0.3754 0.8738
0.3754 0.8738 0.3754
0.8738 0.3754 0.3754
```

SG: F-43m, No. 216
formation energy from the elements: -0.22 eV per atom
DOS(E_F): 10.0 states/eV per cell
mass density: 5.25 g/cm³



Copy entry 6 word for word.
Density functional theory data (PBE) for a relaxed structure of NaTbEuAl.

The structure in POSCAR format:
```
NaTbEuAl
1.0
7.7016 0.0000 0.0000
0.0000 7.7016 0.0000
0.0000 0.0000 7.7016
Na Tb Eu Al
4 4 4 4
direct
0.0000 0.0000 0.0000
0.0000 0.5000 0.5000
0.5000 0.0000 0.5000
0.5000 0.5000 0.0000
0.2500 0.2500 0.2500
0.2500 0.7500 0.7500
0.7500 0.2500 0.7500
0.7500 0.7500 0.2500
0.2500 0.2500 0.7500
0.2500 0.7500 0.2500
0.7500 0.2500 0.2500
0.7500 0.7500 0.7500
0.0000 0.0000 0.5000
0.0000 0.5000 0.0000
0.5000 0.0000 0.0000
0.5000 0.5000 0.5000
```

SG: F-43m, No. 216
formation energy from the elements: 0.00 eV per atom
DOS(E_F): 34.1 states/eV per cell
mass density: 5.25 g/cm³